Version P
Entry from Alexandria: a relaxed structure of NdHoAlHg (PBE).

Cell lengths 7.476, 7.476, 7.476 Å; angles 90.00, 90.00, 90.00 degrees
Space group F-43m (No. 216)
Symmetry-distinct sites (fractional):
Nd  0.000  0.000  0.000 x4
Ho  0.000  0.000  0.500 x4
Al  0.250  0.250  0.750 x4
Hg  0.250  0.250  0.250 x4

---

Version Q
Entry from Alexandria: a relaxed structure of NdHoAlHg (PBE).

Cell lengths 3.610, 3.610, 7.848 Å; angles 90.00, 90.00, 90.00 degrees
Space group P4mm (No. 99)
Symmetry-distinct sites (fractional):
Nd  0.000  0.000  0.000 x1
Ho  0.000  0.000  0.522 x1
Al  0.500  0.500  0.752 x1
Hg  0.500  0.500  0.283 x1

---

Energy ordering: version Q at the bottom, the next structure 46 meV/atom above.